[1]
VASP calculation (PBE) on crystalline ZnCdCuRe at its relaxed geometry.

Cell lengths 4.4434, 4.4434, 4.4434 Å; angles 60.00, 60.00, 60.00 degrees
Positions (direct):
Cu (0.7500, 0.7500, 0.7500)
Cd (0.5000, 0.5000, 0.5000)
Zn (0.0000, 0.0000, 0.0000)
Re (0.2500, 0.2500, 0.2500)

Results
**Formation energy**: 0.659 eV/atom
**Crystal system**: cubic
**Excess energy over the best structure of this formula in the dataset**: 0.000 eV per atom
**M_tot**: 0.3593 μB per atom
**Uncorrected energy**: -3.916 eV/atom

---

[2]
VASP calculation (PBE) on crystalline KPuPt at its relaxed geometry.

Cell lengths 5.0417, 5.0417, 5.0417 Å; angles 60.00, 60.00, 60.00 degrees
Positions (direct):
Pu (0.7500, 0.7500, 0.7500)
Pt (0.0000, 0.0000, 0.0000)
K (0.2500, 0.2500, 0.2500)

Results
**Crystal system**: cubic
**M_tot**: 1.9326 μB per atom
**Uncorrected energy**: -7.034 eV/atom

---

[3]
VASP calculation (PBE) on crystalline Er3Lu3BiTeOs at its relaxed geometry.

Cell lengths 8.1588, 8.1588, 4.1318 Å; angles 90.00, 90.00, 120.00 degrees
Positions (direct):
Er (0.0490, 0.7173, 0.0000)
Er (0.2827, 0.3317, 0.0000)
Er (0.6683, 0.9510, 0.0000)
Bi (0.3333, 0.6667, 0.5000)
Lu (0.4318, 0.0996, 0.5000)
Lu (0.9004, 0.3322, 0.5000)
Lu (0.6678, 0.5682, 0.5000)
Os (0.6667, 0.3333, 0.0000)
Te (0.0000, 0.0000, 0.5000)

Results
**Crystal system**: hexagonal
**M_tot**: 0.0025 μB per atom
**Uncorrected energy**: -5.726 eV/atom

---

[4]
VASP calculation (PBE) on crystalline TbTeAsO at its relaxed geometry.

Cell lengths 5.6556, 7.1608, 5.9741 Å; angles 90.00, 90.00, 90.00 degrees
Positions (direct):
O (0.5000, 0.5395, 0.7815)
O (0.5000, 0.4605, 0.2815)
As (0.0000, 0.1868, 0.9849)
As (0.0000, 0.8132, 0.4849)
Te (0.0000, 0.1778, 0.4979)
Te (0.0000, 0.8222, 0.9979)
Tb (0.5000, 0.3161, 0.9897)
Tb (0.5000, 0.6839, 0.4897)

Results
**Crystal system**: orthorhombic
**Excess energy over the best structure of this formula in the dataset**: 0.006 eV per atom
**M_tot**: 0.0009 μB per atom
**Uncorrected energy**: -5.647 eV/atom